[1]
The following is a PBE calculation of crystalline Zr2TiO6 at its relaxed geometry, from the Alexandria database.

Cell: 4.837 4.837 9.546 Å, 90.00 90.00 90.00°
Element x y z (fractional)
Zr 0.000 0.000 0.167
Zr 0.000 0.000 0.833
Zr 0.500 0.500 0.333
Zr 0.500 0.500 0.667
Ti 0.000 0.000 0.500
Ti 0.500 0.500 0.000
O 0.190 0.190 0.343
O 0.190 0.190 0.657
O 0.205 0.205 0.000
O 0.295 0.705 0.500
O 0.310 0.690 0.157
O 0.310 0.690 0.843
O 0.690 0.310 0.157
O 0.690 0.310 0.843
O 0.705 0.295 0.500
O 0.795 0.795 0.000
O 0.810 0.810 0.343
O 0.810 0.810 0.657

Computed properties:
For the magnetic moment, the calculation gives 0.000 μB per atom. The calculation puts the energy relative to the elements, uncorrected at -3.18 eV/atom. The density of states at the Fermi level is 0.00 states/eV per cell. The calculated total energy comes out at -9.26 eV per atom.



[2]
The following is a PBE calculation of crystalline ZrTi2O6 at its relaxed geometry, from the Alexandria database.

Cell: 4.755 5.638 15.162 Å, 89.92 88.98 89.89°
Element x y z (fractional)
Zr 0.000 0.000 0.000
Zr 0.008 0.980 0.328
Zr 0.495 0.119 0.503
Zr 0.982 0.605 0.833
Ti 0.004 0.609 0.164
Ti 0.479 0.493 0.664
Ti 0.485 0.128 0.830
Ti 0.497 0.477 0.002
Ti 0.498 0.480 0.331
Ti 0.512 0.120 0.167
Ti 0.985 0.624 0.501
Ti 0.985 0.990 0.670
O 0.187 0.918 0.562
O 0.207 0.692 0.717
O 0.228 0.913 0.884
O 0.230 0.678 0.056
O 0.232 0.193 0.727
O 0.245 0.682 0.392
O 0.249 0.909 0.215
O 0.256 0.428 0.558
O 0.264 0.401 0.901
O 0.272 0.422 0.224
O 0.288 0.201 0.387
O 0.307 0.190 0.062
O 0.670 0.421 0.772
O 0.713 0.194 0.273
O 0.716 0.193 0.618
O 0.719 0.203 0.932
O 0.740 0.422 0.441
O 0.742 0.686 0.607
O 0.749 0.923 0.776
O 0.753 0.411 0.105
O 0.753 0.693 0.949
O 0.778 0.913 0.117
O 0.780 0.671 0.273
O 0.784 0.902 0.444

Computed properties:
For the magnetic moment, the calculation gives 0.000 μB per atom. The calculation puts the energy relative to the elements, uncorrected at -3.09 eV/atom. The density of states at the Fermi level is 0.00 states/eV per cell. The calculated total energy comes out at -9.10 eV per atom.